# Np4AsPS2

An optimized crystal structure of Np4AsPS2 (PBE, Alexandria).

Values from the calculation:
Calculated volume: 22.33 A^3/atom
VASP energy: -9.833 eV/atom
Formation energy (no corrections): -1.0737 eV per atom

```
Np4AsPS2
1.0
6.846 0.000 0.000
0.000 4.001 0.000
-2.339 0.000 6.522
Np As P S
4 1 1 2
Direct
0.242 0.000 0.242
0.246 0.500 0.754
0.754 0.500 0.246
0.758 0.000 0.758
0.500 0.500 0.500
0.500 0.000 0.000
0.000 0.000 0.500
0.000 0.500 0.000
```

# Np4As2PSe

An optimized crystal structure of Np4As2PSe (PBE, Alexandria).

Values from the calculation:
Calculated volume: 23.95 A^3/atom
VASP energy: -9.576 eV/atom
Formation energy (no corrections): -0.8317 eV per atom

```
Np4As2PSe
1.0
0.000 4.079 5.764
4.075 0.000 5.764
4.075 4.079 0.000
Np As P Se
4 2 1 1
Direct
0.245 0.245 0.755
0.501 0.501 0.999
0.755 0.755 0.245
0.999 0.999 0.501
0.500 0.500 0.500
0.750 0.750 0.750
0.000 0.000 0.000
0.250 0.250 0.250
```

# NpPa5As6

An optimized crystal structure of NpPa5As6 (PBE, Alexandria).

Values from the calculation:
Formation energy from the elements: -1.003 eV/atom
Calculated volume: 24.30 A^3/atom
VASP energy: -8.362 eV/atom

```
NpPa5As6
1.0
3.547 -6.145 0.000
3.547 6.145 0.000
-2.363 0.000 6.689
Np Pa As
1 5 6
Direct
0.000 0.000 0.000
0.166 0.834 0.500
0.333 0.667 0.000
0.500 0.500 0.500
0.667 0.333 0.000
0.834 0.166 0.500
0.084 0.417 0.250
0.251 0.251 0.750
0.417 0.084 0.250
0.583 0.916 0.750
0.749 0.749 0.250
0.916 0.583 0.750
```

# Np3Pa5As8

An optimized crystal structure of Np3Pa5As8 (PBE, Alexandria).

Values from the calculation:
Formation energy from the elements: -0.926 eV/atom
Calculated volume: 24.34 A^3/atom
VASP energy: -8.645 eV/atom

```
Np3Pa5As8
1.0
4.102 2.368 6.681
-4.102 2.368 6.681
0.000 -4.737 6.681
Np Pa As
3 5 8
Direct
0.000 0.500 0.500
0.500 0.000 0.500
0.500 0.500 0.000
0.000 0.000 0.000
0.000 0.000 0.500
0.000 0.500 0.000
0.500 0.000 0.000
0.500 0.500 0.500
0.250 0.250 0.250
0.250 0.250 0.750
0.250 0.750 0.250
0.250 0.750 0.750
0.750 0.250 0.250
0.750 0.250 0.750
0.750 0.750 0.250
0.750 0.750 0.750
```

# NpPaAs

An optimized crystal structure of NpPaAs (PBE, Alexandria).

Values from the calculation:
Formation energy from the elements: -0.387 eV/atom
Energy above the most stable polymorph in this dataset: 0 meV per atom
Calculated volume: 22.34 A^3/atom
VASP energy: -9.416 eV/atom

```
NpPaAs
1.0
-1.937 1.937 4.465
1.937 -1.937 4.465
1.937 1.937 -4.465
Np Pa As
1 1 1
Direct
0.000 0.000 0.000
0.294 0.294 0.000
0.644 0.644 0.000
```

# NpPaAs

An optimized crystal structure of NpPaAs (PBE, Alexandria).

Values from the calculation:
Formation energy from the elements: -0.373 eV/atom
Energy above the most stable polymorph in this dataset: 15 meV per atom
Calculated volume: 22.09 A^3/atom
VASP energy: -9.401 eV/atom

```
NpPaAs
1.0
2.718 -4.293 0.000
2.718 4.293 0.000
0.000 0.000 5.680
Np Pa As
2 2 2
Direct
0.005 0.995 0.750
0.995 0.005 0.250
0.307 0.693 0.750
0.693 0.307 0.250
0.343 0.657 0.250
0.657 0.343 0.750
```

# NpPaAs

An optimized crystal structure of NpPaAs (PBE, Alexandria).

Values from the calculation:
Formation energy from the elements: -0.045 eV/atom
Energy above the most stable polymorph in this dataset: 342 meV per atom
Calculated volume: 21.56 A^3/atom
VASP energy: -9.073 eV/atom

```
NpPaAs
1.0
4.939 0.000 0.000
-2.469 4.277 0.000
0.000 0.000 3.062
Np Pa As
1 1 1
Direct
0.000 0.000 0.000
0.667 0.333 0.455
0.333 0.667 0.766
```

# Np2PaAs3

An optimized crystal structure of Np2PaAs3 (PBE, Alexandria).

Values from the calculation:
Formation energy from the elements: -0.814 eV/atom
Calculated volume: 24.52 A^3/atom
VASP energy: -9.035 eV/atom

```
Np2PaAs3
1.0
-2.066 2.908 6.122
2.066 -2.908 6.122
2.066 2.908 -6.122
Np Pa As
2 1 3
Direct
0.167 0.167 0.000
0.833 0.833 0.000
0.500 0.500 0.000
0.000 0.500 0.500
0.334 0.834 0.500
0.666 0.166 0.500
```

# Np4PaAs5

An optimized crystal structure of Np4PaAs5 (PBE, Alexandria).

Values from the calculation:
Formation energy from the elements: -0.764 eV/atom
Calculated volume: 24.55 A^3/atom
VASP energy: -9.215 eV/atom

```
Np4PaAs5
1.0
6.797 -2.062 0.000
6.797 2.062 0.000
-4.920 0.000 8.759
Np Pa As
4 1 5
Direct
0.100 0.100 0.401
0.301 0.301 0.201
0.699 0.699 0.799
0.900 0.900 0.599
0.500 0.500 0.000
0.100 0.100 0.901
0.301 0.301 0.701
0.500 0.500 0.500
0.699 0.699 0.299
0.900 0.900 0.099
```

# NpPa2As3

An optimized crystal structure of NpPa2As3 (PBE, Alexandria).

Values from the calculation:
Formation energy from the elements: -0.937 eV/atom
Calculated volume: 24.33 A^3/atom
VASP energy: -8.584 eV/atom

```
NpPa2As3
1.0
-2.054 2.895 6.138
2.054 -2.895 6.138
2.054 2.895 -6.138
Np Pa As
1 2 3
Direct
0.000 0.000 0.000
0.333 0.333 0.000
0.667 0.667 0.000
0.167 0.667 0.500
0.500 0.000 0.500
0.833 0.333 0.500
```

# PmNp2PaAs4

An optimized crystal structure of PmNp2PaAs4 (PBE, Alexandria).

Values from the calculation:
Formation energy from the elements: -0.988 eV/atom
Calculated volume: 25.06 A^3/atom
VASP energy: -8.329 eV/atom

```
PmNp2PaAs4
1.0
7.145 0.000 0.000
0.000 4.144 0.000
-2.405 0.000 6.771
Pm Np Pa As
1 2 1 4
Direct
0.000 0.000 0.000
0.500 0.000 0.500
0.500 0.500 0.000
0.000 0.500 0.500
0.251 0.000 0.746
0.255 0.500 0.257
0.745 0.500 0.743
0.749 0.000 0.254
```

# Pm3NpPa2As6

An optimized crystal structure of Pm3NpPa2As6 (PBE, Alexandria).

Values from the calculation:
Formation energy from the elements: -1.230 eV/atom
Calculated volume: 25.53 A^3/atom
VASP energy: -7.404 eV/atom

```
Pm3NpPa2As6
1.0
9.095 -2.080 0.000
9.095 2.080 0.000
-1.976 0.000 8.095
Pm Np Pa As
3 1 2 6
Direct
0.000 0.000 0.000
0.333 0.333 0.667
0.667 0.667 0.333
0.000 0.000 0.500
0.335 0.335 0.170
0.665 0.665 0.830
0.165 0.165 0.590
0.170 0.170 0.076
0.498 0.498 0.255
0.502 0.502 0.745
0.830 0.830 0.924
0.835 0.835 0.410
```

# Pu2NpPa3As6

An optimized crystal structure of Pu2NpPa3As6 (PBE, Alexandria).

Values from the calculation:
Formation energy from the elements: -1.006 eV/atom
Calculated volume: 24.59 A^3/atom
VASP energy: -9.172 eV/atom

```
Pu2NpPa3As6
1.0
8.943 -2.062 0.000
8.943 2.062 0.000
-1.810 0.000 8.001
Pu Np Pa As
2 1 3 6
Direct
0.167 0.167 0.334
0.833 0.833 0.666
0.500 0.500 0.000
0.167 0.167 0.834
0.500 0.500 0.500
0.833 0.833 0.166
0.001 0.001 0.749
0.333 0.333 0.918
0.334 0.334 0.414
0.666 0.666 0.586
0.667 0.667 0.082
0.999 0.999 0.251
```

# Pu3NpPa2As6

An optimized crystal structure of Pu3NpPa2As6 (PBE, Alexandria).

Values from the calculation:
Formation energy from the elements: -0.988 eV/atom
Calculated volume: 24.70 A^3/atom
VASP energy: -9.557 eV/atom

```
Pu3NpPa2As6
1.0
9.000 -2.060 0.000
9.000 2.060 0.000
-1.886 0.000 7.993
Pu Np Pa As
3 1 2 6
Direct
0.000 0.000 0.000
0.333 0.333 0.667
0.667 0.667 0.333
0.000 0.000 0.500
0.334 0.334 0.169
0.666 0.666 0.831
0.167 0.167 0.585
0.168 0.168 0.080
0.499 0.499 0.251
0.501 0.501 0.749
0.832 0.832 0.920
0.833 0.833 0.415
```

# Pu2NpPaAs4

An optimized crystal structure of Pu2NpPaAs4 (PBE, Alexandria).

Values from the calculation:
Formation energy from the elements: -0.944 eV/atom
Calculated volume: 24.72 A^3/atom
VASP energy: -9.656 eV/atom

```
Pu2NpPaAs4
1.0
7.132 0.000 0.000
0.000 4.119 0.000
-2.401 0.000 6.730
Pu Np Pa As
2 1 1 4
Direct
0.000 0.000 0.000
0.500 0.500 0.000
0.000 0.500 0.500
0.500 0.000 0.500
0.251 0.000 0.746
0.252 0.500 0.254
0.748 0.500 0.746
0.749 0.000 0.254
```

# PuNp2PaAs4

An optimized crystal structure of PuNp2PaAs4 (PBE, Alexandria).

Values from the calculation:
Formation energy from the elements: -0.849 eV/atom
Calculated volume: 24.54 A^3/atom
VASP energy: -9.388 eV/atom

```
PuNp2PaAs4
1.0
7.119 0.000 0.000
0.000 4.106 0.000
-2.384 0.000 6.718
Pu Np Pa As
1 2 1 4
Direct
0.000 0.000 0.000
0.500 0.000 0.500
0.500 0.500 0.000
0.000 0.500 0.500
0.250 0.000 0.748
0.251 0.500 0.252
0.749 0.500 0.748
0.750 0.000 0.252
```

# NpPaAsS

An optimized crystal structure of NpPaAsS (PBE, Alexandria).

Values from the calculation:
Calculated volume: 21.06 A^3/atom
VASP energy: -8.700 eV/atom
Formation energy (no corrections): -0.8969 eV per atom

```
NpPaAsS
1.0
0.000 3.479 3.479
3.479 0.000 3.479
3.479 3.479 0.000
Np Pa As S
1 1 1 1
Direct
0.000 0.000 0.000
0.500 0.500 0.500
0.750 0.750 0.750
0.250 0.250 0.250
```

# NpPaAsS2

An optimized crystal structure of NpPaAsS2 (PBE, Alexandria).

Values from the calculation:
Calculated volume: 22.19 A^3/atom
VASP energy: -8.041 eV/atom
Formation energy (no corrections): -0.9732 eV per atom

```
NpPaAsS2
1.0
-2.086 2.086 6.373
2.086 -2.086 6.373
2.086 2.086 -6.373
Np Pa As S
1 1 1 2
Direct
0.000 0.000 0.000
0.228 0.228 0.000
0.617 0.617 0.000
0.363 0.863 0.500
0.863 0.363 0.500
```

# SmNpPa2As4

An optimized crystal structure of SmNpPa2As4 (PBE, Alexandria).

Values from the calculation:
Formation energy from the elements: -1.082 eV/atom
Calculated volume: 24.84 A^3/atom
VASP energy: -7.988 eV/atom

```
SmNpPa2As4
1.0
7.126 0.000 0.000
0.000 4.132 0.000
-2.398 0.000 6.748
Sm Np Pa As
1 1 2 4
Direct
0.000 0.000 0.000
0.000 0.500 0.500
0.500 0.000 0.500
0.500 0.500 0.000
0.254 0.000 0.749
0.257 0.500 0.255
0.743 0.500 0.745
0.746 0.000 0.251
```

# Sm2NpPaAs4

An optimized crystal structure of Sm2NpPaAs4 (PBE, Alexandria).

Values from the calculation:
Formation energy from the elements: -1.204 eV/atom
Calculated volume: 25.38 A^3/atom
VASP energy: -7.513 eV/atom

```
Sm2NpPaAs4
1.0
7.171 0.000 0.000
0.000 4.151 0.000
-2.405 0.000 6.821
Sm Np Pa As
2 1 1 4
Direct
0.000 0.000 0.000
0.500 0.500 0.000
0.000 0.500 0.500
0.500 0.000 0.500
0.249 0.000 0.741
0.255 0.500 0.259
0.745 0.500 0.741
0.751 0.000 0.259
```

# SmNp2PaAs4

An optimized crystal structure of SmNp2PaAs4 (PBE, Alexandria).

Values from the calculation:
Formation energy from the elements: -0.973 eV/atom
Calculated volume: 24.87 A^3/atom
VASP energy: -8.310 eV/atom

```
SmNp2PaAs4
1.0
7.123 0.000 0.000
0.000 4.125 0.000
-2.399 0.000 6.772
Sm Np Pa As
1 2 1 4
Direct
0.000 0.000 0.000
0.500 0.000 0.500
0.500 0.500 0.000
0.000 0.500 0.500
0.250 0.000 0.747
0.255 0.500 0.257
0.745 0.500 0.743
0.750 0.000 0.253
```

# Sr2NpPaAs4

An optimized crystal structure of Sr2NpPaAs4 (PBE, Alexandria).

Values from the calculation:
Formation energy from the elements: -1.044 eV/atom
Calculated volume: 28.04 A^3/atom
VASP energy: -6.593 eV/atom

```
Sr2NpPaAs4
1.0
7.374 0.000 0.000
0.000 4.267 0.000
-2.476 0.000 7.129
Sr Np Pa As
2 1 1 4
Direct
0.000 0.000 0.000
0.500 0.500 0.000
0.000 0.500 0.500
0.500 0.000 0.500
0.244 0.000 0.717
0.267 0.500 0.282
0.733 0.500 0.718
0.756 0.000 0.283
```

# TbNpPa2As4

An optimized crystal structure of TbNpPa2As4 (PBE, Alexandria).

Values from the calculation:
Formation energy from the elements: -1.085 eV/atom
Calculated volume: 24.48 A^3/atom
VASP energy: -7.980 eV/atom

```
TbNpPa2As4
1.0
7.086 0.000 0.000
0.000 4.115 0.000
-2.388 0.000 6.718
Tb Np Pa As
1 1 2 4
Direct
0.000 0.000 0.000
0.000 0.500 0.500
0.500 0.000 0.500
0.500 0.500 0.000
0.251 0.000 0.750
0.253 0.500 0.251
0.747 0.500 0.749
0.749 0.000 0.250
```

# TbNp2PaAs4

An optimized crystal structure of TbNp2PaAs4 (PBE, Alexandria).

Values from the calculation:
Formation energy from the elements: -0.979 eV/atom
Calculated volume: 24.56 A^3/atom
VASP energy: -8.304 eV/atom

```
TbNp2PaAs4
1.0
7.098 0.000 0.000
0.000 4.107 0.000
-2.389 0.000 6.738
Tb Np Pa As
1 2 1 4
Direct
0.000 0.000 0.000
0.500 0.000 0.500
0.500 0.500 0.000
0.000 0.500 0.500
0.248 0.000 0.749
0.251 0.500 0.253
0.749 0.500 0.747
0.752 0.000 0.251
```